# 1
# HfPd6Pt4

Crystalline HfPd6Pt4 at its relaxed geometry (PBE, the Alexandria database).

Computed properties:
The calculation puts the formation energy at -0.1753 eV/atom. The calculation puts the density at 14.414 g cm⁻³. Its density of states at the Fermi level is 14.89 states/eV per cell. For the total magnetic moment, the calculation gives 0.0 μB/cell.

Cell and atoms, written as CIF:
```
data_HfPd6Pt4
_chemical_formula_sum 'Hf1 Pd6 Pt4'
_space_group_name_H-M_alt 'P 1'
_space_group_IT_number 1
_cell_length_a 8.751
_cell_length_b 8.751
_cell_length_c 2.775
_cell_angle_alpha 90.00
_cell_angle_beta 90.00
_cell_angle_gamma 120.00
loop_
_space_group_symop_operation_xyz
'x,y,z'
loop_
_atom_site_label
_atom_site_fract_x
_atom_site_fract_y
_atom_site_fract_z
_atom_site_occupancy
Hf1 0.000 0.000 0.000 1
Pd1 0.035 0.518 0.000 1
Pd2 0.359 0.180 0.500 1
Pd3 0.482 0.518 0.000 1
Pd4 0.482 0.965 0.000 1
Pd5 0.820 0.180 0.500 1
Pd6 0.820 0.641 0.500 1
Pt1 0.167 0.335 0.500 1
Pt2 0.167 0.833 0.500 1
Pt3 0.665 0.833 0.500 1
Pt4 0.667 0.333 0.000 1
```


# 2
# HfPd2Pt2

Crystalline HfPd2Pt2 at its relaxed geometry (PBE, the Alexandria database).

Computed properties:
The energy relative to the lowest polymorph listed for this composition is 0 meV/atom. The calculation puts the formation energy at -0.4636 eV/atom. The calculation puts the density at 14.855 g cm⁻³. Its density of states at the Fermi level is 5.78 states/eV per cell. For the total magnetic moment, the calculation gives 0.0 μB/cell.

Cell and atoms, written as CIF:
```
data_HfPd2Pt2
_chemical_formula_sum 'Hf2 Pd4 Pt4'
_space_group_name_H-M_alt 'P 1'
_space_group_IT_number 1
_cell_length_a 6.835
_cell_length_b 6.835
_cell_length_c 3.740
_cell_angle_alpha 90.00
_cell_angle_beta 90.00
_cell_angle_gamma 90.00
loop_
_space_group_symop_operation_xyz
'x,y,z'
loop_
_atom_site_label
_atom_site_fract_x
_atom_site_fract_y
_atom_site_fract_z
_atom_site_occupancy
Hf1 0.000 0.000 0.000 1
Hf2 0.500 0.500 0.000 1
Pd1 0.161 0.339 0.500 1
Pd2 0.339 0.839 0.500 1
Pd3 0.661 0.161 0.500 1
Pd4 0.839 0.661 0.500 1
Pt1 0.137 0.637 0.000 1
Pt2 0.363 0.137 0.000 1
Pt3 0.637 0.863 0.000 1
Pt4 0.863 0.363 0.000 1
```


# 3
# Hf2Pd9Pt

Crystalline Hf2Pd9Pt at its relaxed geometry (PBE, the Alexandria database).

Computed properties:
The calculation puts the formation energy at -0.6088 eV/atom. The calculation puts the density at 13.100 g cm⁻³. Its density of states at the Fermi level is 7.74 states/eV per cell. For the total magnetic moment, the calculation gives 0.0 μB/cell.

Cell and atoms, written as CIF:
```
data_Hf2Pd9Pt
_chemical_formula_sum 'Hf2 Pd9 Pt1'
_space_group_name_H-M_alt 'P 1'
_space_group_IT_number 1
_cell_length_a 3.992
_cell_length_b 3.992
_cell_length_c 12.010
_cell_angle_alpha 90.00
_cell_angle_beta 90.00
_cell_angle_gamma 90.00
loop_
_space_group_symop_operation_xyz
'x,y,z'
loop_
_atom_site_label
_atom_site_fract_x
_atom_site_fract_y
_atom_site_fract_z
_atom_site_occupancy
Hf1 0.000 0.000 0.171 1
Hf2 0.000 0.000 0.829 1
Pd1 0.000 0.500 0.000 1
Pd2 0.000 0.500 0.331 1
Pd3 0.000 0.500 0.669 1
Pd4 0.500 0.000 0.000 1
Pd5 0.500 0.000 0.331 1
Pd6 0.500 0.000 0.669 1
Pd7 0.500 0.500 0.165 1
Pd8 0.500 0.500 0.500 1
Pd9 0.500 0.500 0.835 1
Pt1 0.000 0.000 0.500 1
```


# 4
# HfPdPt3

Crystalline HfPdPt3 at its relaxed geometry (PBE, the Alexandria database).

Computed properties:
The energy relative to the lowest polymorph listed for this composition is 1579 meV/atom. The calculation puts the formation energy at 0.7895 eV/atom. The calculation puts the density at 12.525 g cm⁻³. Its density of states at the Fermi level is 1.74 states/eV per cell. For the total magnetic moment, the calculation gives 0.0 μB/cell.

Cell and atoms, written as CIF:
```
data_HfPdPt3
_chemical_formula_sum 'Hf1 Pd1 Pt3'
_space_group_name_H-M_alt 'P 1'
_space_group_IT_number 1
_cell_length_a 4.868
_cell_length_b 4.868
_cell_length_c 4.868
_cell_angle_alpha 90.00
_cell_angle_beta 90.00
_cell_angle_gamma 90.00
loop_
_space_group_symop_operation_xyz
'x,y,z'
loop_
_atom_site_label
_atom_site_fract_x
_atom_site_fract_y
_atom_site_fract_z
_atom_site_occupancy
Hf1 0.000 0.000 0.000 1
Pd1 0.500 0.500 0.500 1
Pt1 0.000 0.000 0.500 1
Pt2 0.000 0.500 0.000 1
Pt3 0.500 0.000 0.000 1
```


no.,E (eV/cell)
1,-67.20
2,-69.48
3,-79.99
4,-29.32